Compound: SiH2Ir2
Source: Alexandria via LeMat-Bulk
Functional: PBE-GGA
Structure: relaxed

POSCAR file:
```
SiH2Ir2
1.0
-5.417 0.268 2.252
-1.222 -5.258 -2.313
0.939 -1.279 2.412
H Si Ir
4 2 4
direct
0.399 0.899 0.000
0.899 0.601 0.000
0.601 0.101 0.000
0.101 0.399 0.000
0.000 0.000 0.000
0.500 0.500 0.000
0.279 0.779 0.500
0.779 0.721 0.500
0.721 0.221 0.500
0.221 0.279 0.500
```

Calculated values
For the energy relative to the lowest polymorph listed for this composition, the calculation gives 0 meV/atom. The value obtained for the density of states at the Fermi level is 1.79 states/eV/cell. For the total energy, the calculation gives -5.976 eV/atom.